1.
Sc2PbSe: optimized geometry, PBE-GGA.

a = 5.1152 Å, b = 5.1152 Å, c = 5.1152 Å
α = 60.00°, β = 60.00°, γ = 60.00°
With the nearest neighbours (Å) after each atom.
Element x y z (fractional)
Pb1 0.5000 0.5000 0.5000  4 Se 3.13, 4 Sc 3.13
Sc1 0.0000 0.0000 0.0000  4 Se 3.13, 4 Sc 3.13
Sc2 0.2500 0.2500 0.2500  4 Pb 3.13, 4 Sc 3.13
Se1 0.7500 0.7500 0.7500  4 Pb 3.13, 4 Sc 3.13

Calculated values
Density of states at the Fermi level (states/eV per atom): 0.764
Formation energy without anion corrections (eV/atom): -0.07
Space group: F-43m (216)
Density (g/cm3): 6.6

=====

2.
Sc2PbSe: optimized geometry, PBE-GGA.

a = 6.1181 Å, b = 6.1181 Å, c = 6.1181 Å
α = 140.65°, β = 140.65°, γ = 56.87°
With the nearest neighbours (Å) after each atom.
Element x y z (fractional)
Pb1 0.7500 0.2500 0.5000  4 Sc 2.91
Sc1 0.0000 0.0000 0.0000  4 Se 2.91
Sc2 0.2500 0.7500 0.5000  4 Pb 2.91
Se1 0.5000 0.5000 0.0000  4 Sc 2.91

Calculated values
Density of states at the Fermi level (states/eV per atom): 0.646
Formation energy without anion corrections (eV/atom): -0.63
Space group: I-4m2 (119)
Density (g/cm3): 6.8

=====

3.
ScPbSe2: optimized geometry, PBE-GGA.

a = 5.7051 Å, b = 5.7051 Å, c = 5.7051 Å
α = 140.52°, β = 108.07°, γ = 85.30°
With the nearest neighbours (Å) after each atom.
Element x y z (fractional)
Pb1 0.7500 0.2500 0.5000  4 Se 3.07
Sc1 0.2500 0.7500 0.5000  4 Se 2.64
Se1 0.0347 0.0347 0.0000  2 Sc 2.64
Se2 0.4653 0.4653 0.0000  2 Sc 2.64

Calculated values
Density of states at the Fermi level (states/eV per atom): 0.364
Formation energy without anion corrections (eV/atom): -0.79
Space group: Immm (71)
Density (g/cm3): 6.3

=====

4.
ScPbSe2: optimized geometry, PBE-GGA.

a = 9.0604 Å, b = 9.0604 Å, c = 9.0604 Å
α = 25.37°, β = 25.37°, γ = 25.37°
With the nearest neighbours (Å) after each atom.
Element x y z (fractional)
Pb1 0.5021 0.5021 0.5021  3 Se 2.83
Sc1 0.7385 0.7385 0.7385  3 Se 2.57
Se1 0.0277 0.0277 0.0277  3 Sc 2.57
Se2 0.2318 0.2318 0.2318  3 Pb 2.83

Calculated values
Density of states at the Fermi level (states/eV per atom): 0.599
Formation energy without anion corrections (eV/atom): -0.67
Space group: R3m (160)
Density (g/cm3): 5.7

=====

5.
Sc2PbSe: optimized geometry, PBE-GGA.

a = 3.5112 Å, b = 3.4310 Å, c = 7.7791 Å
α = 74.02°, β = 90.00°, γ = 90.00°
With the nearest neighbours (Å) after each atom.
Element x y z (fractional)
Pb1 0.5000 0.7500 0.7500  8 Sc 3.15-3.31, 4 Pb 3.43-3.51
Sc1 0.0000 0.0311 0.0305  2 Se 2.70
Sc2 0.0000 0.4689 0.4695  2 Se 2.70
Se1 0.5000 0.2500 0.2500  4 Sc 2.70

Calculated values
Density of states at the Fermi level (states/eV per atom): 0.757
Formation energy without anion corrections (eV/atom): -0.80
Space group: P2/m (10)
Density (g/cm3): 6.9

=====

6.
Sc2PbSe: optimized geometry, PBE-GGA.

a = 6.2337 Å, b = 6.2337 Å, c = 7.9732 Å
α = 66.99°, β = 66.99°, γ = 90.00°
With the nearest neighbours (Å) after each atom.
Element x y z (fractional)
Pb1 0.0000 0.0000 0.0000  4 Sc 2.85
Pb2 0.7500 0.2500 0.5000  4 Sc 2.85
Sc1 0.5998 0.1250 0.2500  2 Se 2.67, 2 Pb 2.85
Sc2 0.1502 0.6250 0.2500  2 Se 2.67, 2 Pb 2.85
Sc3 0.3750 0.4002 0.7500  2 Se 2.67, 2 Pb 2.85
Sc4 0.8750 0.8498 0.7500  2 Se 2.67, 2 Pb 2.85
Se1 0.5000 0.5000 0.0000  4 Sc 2.67
Se2 0.2500 0.7500 0.5000  4 Sc 2.67

Calculated values
Density of states at the Fermi level (states/eV per atom): 0.000
Formation energy without anion corrections (eV/atom): -0.52
Space group: I-42d (122)
Density (g/cm3): 4.8

=====

7.
ScPb2Se: optimized geometry, PBE-GGA.

a = 8.3732 Å, b = 8.3732 Å, c = 4.0693 Å
α = 75.91°, β = 75.91°, γ = 24.01°
With the nearest neighbours (Å) after each atom.
Element x y z (fractional)
Pb1 0.0626 0.0626 0.9374  6 Pb 3.33-3.48, 2 Sc 3.45, 2 Se 3.60
Pb2 0.4374 0.4374 0.5626  6 Pb 3.33-3.48, 2 Sc 3.45, 2 Se 3.60
Sc1 0.7500 0.7500 0.7500  4 Se 2.68
Se1 0.2500 0.2500 0.2500  4 Sc 2.68

Calculated values
Density of states at the Fermi level (states/eV per atom): 0.436
Formation energy without anion corrections (eV/atom): -0.58
Space group: Immm (71)
Density (g/cm3): 8.0

=====

8.
ScPbSe2: optimized geometry, PBE-GGA.

a = 3.7712 Å, b = 3.7712 Å, c = 7.9209 Å
α = 90.00°, β = 90.00°, γ = 90.00°
With the nearest neighbours (Å) after each atom.
Element x y z (fractional)
Pb1 0.0000 0.0000 0.4463  5 Se 3.06-3.32
Sc1 0.5000 0.5000 0.9321  5 Se 2.57-2.72
Se1 0.0000 0.0000 0.8654  4 Sc 2.72
Se2 0.5000 0.5000 0.2562  1 Sc 2.57

Calculated values
Density of states at the Fermi level (states/eV per atom): 0.886
Formation energy without anion corrections (eV/atom): -0.90
Space group: P4mm (99)
Density (g/cm3): 6.0

=====

9.
ScPb2Se: optimized geometry, PBE-GGA.

a = 5.2844 Å, b = 5.2844 Å, c = 5.2844 Å
α = 60.00°, β = 60.00°, γ = 60.00°
With the nearest neighbours (Å) after each atom.
Element x y z (fractional)
Pb1 0.0000 0.0000 0.0000  4 Se 3.24, 4 Pb 3.24
Pb2 0.2500 0.2500 0.2500  4 Pb 3.24, 4 Sc 3.24
Sc1 0.5000 0.5000 0.5000  4 Pb 3.24, 4 Se 3.24
Se1 0.7500 0.7500 0.7500  4 Pb 3.24, 4 Sc 3.24

Calculated values
Density of states at the Fermi level (states/eV per atom): 0.906
Formation energy without anion corrections (eV/atom): -0.21
Space group: F-43m (216)
Density (g/cm3): 8.6

=====

10.
ScPb2Se: optimized geometry, PBE-GGA.

a = 6.4481 Å, b = 6.4481 Å, c = 6.4481 Å
α = 148.12°, β = 130.88°, γ = 59.76°
With the nearest neighbours (Å) after each atom.
Element x y z (fractional)
Pb1 0.0127 0.0127 0.0000  4 Sc 3.26, 6 Pb 3.54-3.63, 2 Se 3.58
Pb2 0.7312 0.2312 0.5000  4 Se 3.28, 2 Sc 3.47, 6 Pb 3.54-3.63
Sc1 0.4648 0.4648 0.0000  2 Se 2.63
Se1 0.2914 0.7914 0.5000  2 Sc 2.63

Calculated values
Density of states at the Fermi level (states/eV per atom): 0.509
Formation energy without anion corrections (eV/atom): -0.46
Space group: Imm2 (44)
Density (g/cm3): 8.4

=====

11.
ScPbSe3: optimized geometry, PBE-GGA.

a = 5.1780 Å, b = 5.1780 Å, c = 5.1780 Å
α = 90.00°, β = 90.00°, γ = 90.00°
With the nearest neighbours (Å) after each atom.
Element x y z (fractional)
Pb1 0.5000 0.5000 0.5000  12 Se 3.66
Sc1 0.0000 0.0000 0.0000  6 Se 2.59
Se1 0.0000 0.5000 0.0000  2 Sc 2.59
Se2 0.0000 0.0000 0.5000  2 Sc 2.59
Se3 0.5000 0.0000 0.0000  2 Sc 2.59

Calculated values
Density of states at the Fermi level (states/eV per atom): 0.435
Formation energy without anion corrections (eV/atom): -0.73
Space group: Pm-3m (221)
Density (g/cm3): 5.8

=====

12.
Sc2PbSe: optimized geometry, PBE-GGA.

a = 4.0750 Å, b = 4.0739 Å, c = 5.7498 Å
α = 90.00°, β = 90.00°, γ = 90.00°
With the nearest neighbours (Å) after each atom.
Element x y z (fractional)
Pb1 0.5000 0.5000 0.8753  6 Sc 2.87-2.88
Sc1 0.0000 0.0000 0.8744  2 Se 2.87-2.88, 4 Pb 2.88
Sc2 0.5000 0.5000 0.3754  2 Pb 2.87-2.88, 4 Se 2.88
Se1 0.0000 0.0000 0.3748  6 Sc 2.87-2.88

Calculated values
Density of states at the Fermi level (states/eV per atom): 0.296
Formation energy without anion corrections (eV/atom): -0.93
Space group: P4mm (99)
Density (g/cm3): 6.5

=====

13.
ScPbSe2: optimized geometry, PBE-GGA.

a = 6.8407 Å, b = 6.8407 Å, c = 7.4865 Å
α = 62.81°, β = 62.81°, γ = 90.00°
With the nearest neighbours (Å) after each atom.
Element x y z (fractional)
Pb1 0.0000 0.0000 0.0000  4 Se 3.06
Pb2 0.7500 0.2500 0.5000  4 Se 3.06
Sc1 0.5000 0.5000 0.0000  4 Se 2.59
Sc2 0.2500 0.7500 0.5000  4 Se 2.59
Se1 0.5679 0.1250 0.2500  2 Sc 2.59
Se2 0.1821 0.6250 0.2500  2 Sc 2.59
Se3 0.3750 0.4321 0.7500  2 Sc 2.59
Se4 0.8750 0.8179 0.7500  2 Sc 2.59

Calculated values
Density of states at the Fermi level (states/eV per atom): 1.086
Formation energy without anion corrections (eV/atom): -0.83
Space group: I-42d (122)
Density (g/cm3): 5.1

=====

14.
Sc2PbSe: optimized geometry, PBE-GGA.

a = 5.4545 Å, b = 5.4545 Å, c = 5.4545 Å
α = 138.91°, β = 113.23°, γ = 81.48°
With the nearest neighbours (Å) after each atom.
Element x y z (fractional)
Pb1 0.2500 0.7500 0.5000  4 Sc 3.01
Sc1 0.9684 0.9684 0.0000  2 Se 2.63
Sc2 0.5316 0.5316 0.0000  2 Se 2.63
Se1 0.7500 0.2500 0.5000  4 Sc 2.63

Calculated values
Density of states at the Fermi level (states/eV per atom): 0.786
Formation energy without anion corrections (eV/atom): -0.72
Space group: Immm (71)
Density (g/cm3): 6.6

=====

15.
Sc2PbSe: optimized geometry, PBE-GGA.

a = 7.8234 Å, b = 7.8234 Å, c = 7.8234 Å
α = 153.36°, β = 153.56°, γ = 37.88°
With the nearest neighbours (Å) after each atom.
Element x y z (fractional)
Pb1 0.3045 0.8045 0.5000  6 Sc 3.06-3.14
Sc1 0.9719 0.9719 0.0000  4 Se 2.75, 2 Pb 3.06
Sc2 0.6802 0.1802 0.5000  2 Se 2.71
Se1 0.5434 0.5434 0.0000  6 Sc 2.71-2.75

Calculated values
Density of states at the Fermi level (states/eV per atom): 0.668
Formation energy without anion corrections (eV/atom): -0.88
Space group: Imm2 (44)
Density (g/cm3): 6.5

=====

16.
Sc2PbSe: optimized geometry, PBE-GGA.

a = 3.6908 Å, b = 3.6908 Å, c = 8.1291 Å
α = 76.88°, β = 76.88°, γ = 60.00°
With the nearest neighbours (Å) after each atom.
Element x y z (fractional)
Sc1 0.0683 0.0683 0.7951  3 Se 2.66
Sc2 0.2651 0.2651 0.2048  3 Se 2.68
Pb1 0.4992 0.4992 0.5024  6 Sc 3.13-3.16
Se1 0.6674 0.6674 0.9977  6 Sc 2.66-2.68

Calculated values
Density of states at the Fermi level (states/eV per atom): 0.624
Formation energy without anion corrections (eV/atom): -0.97
Space group: R3m (160)
Density (g/cm3): 6.7

=====

17.
Sc3PbSe2: optimized geometry, PBE-GGA.

a = 4.8562 Å, b = 6.5311 Å, c = 9.1119 Å
α = 90.00°, β = 90.00°, γ = 111.83°
With the nearest neighbours (Å) after each atom.
Element x y z (fractional)
Sc1 0.6293 0.2586 0.0428  4 Se 2.77-2.92
Sc2 0.1244 0.2487 0.7500  4 Se 2.64-2.73
Sc3 0.6293 0.2586 0.4572  4 Se 2.77-2.92
Sc4 0.8756 0.7513 0.2500  4 Se 2.64-2.73
Sc5 0.3707 0.7414 0.9572  4 Se 2.77-2.92
Sc6 0.3707 0.7414 0.5428  4 Se 2.77-2.92
Pb1 0.2087 0.4173 0.2500  3 Se 3.07-3.40, 8 Sc 3.16-3.31
Pb2 0.7913 0.5827 0.7500  3 Se 3.07-3.40, 8 Sc 3.16-3.31
Se1 0.0000 0.0000 0.0000  6 Sc 2.73-2.92
Se2 0.0000 0.0000 0.5000  6 Sc 2.73-2.92
Se3 0.4619 0.9237 0.2500  6 Sc 2.64-2.89
Se4 0.5381 0.0763 0.7500  6 Sc 2.64-2.89

Calculated values
Density of states at the Fermi level (states/eV per atom): 0.784
Formation energy without anion corrections (eV/atom): -0.96
Space group: Cmcm (63)
Density (g/cm3): 6.2

=====

18.
ScPb3Se: optimized geometry, PBE-GGA.

a = 5.6234 Å, b = 5.6234 Å, c = 5.6234 Å
α = 90.00°, β = 90.00°, γ = 90.00°
With the nearest neighbours (Å) after each atom.
Element x y z (fractional)
Pb1 0.0000 0.5000 0.0000  2 Se 2.81
Pb2 0.0000 0.0000 0.5000  2 Se 2.81
Pb3 0.5000 0.0000 0.0000  2 Se 2.81
Sc1 0.5000 0.5000 0.5000  12 Pb 3.98
Se1 0.0000 0.0000 0.0000  6 Pb 2.81

Calculated values
Density of states at the Fermi level (states/eV per atom): 1.218
Formation energy without anion corrections (eV/atom): 0.38
Space group: Pm-3m (221)
Density (g/cm3): 7.0

=====

19.
Sc6PbSe5: optimized geometry, PBE-GGA.

a = 6.8327 Å, b = 6.8088 Å, c = 6.8020 Å
α = 59.97°, β = 80.43°, γ = 70.60°
With the nearest neighbours (Å) after each atom.
Element x y z (fractional)
Sc1 0.7405 0.0871 0.3437  5 Se 2.72-2.79, 1 Pb 2.88
Sc2 0.2595 0.5692 0.3437  5 Se 2.72-2.79, 1 Pb 2.88
Sc3 0.2545 0.2607 0.0000  5 Se 2.70-2.78, 1 Pb 2.87
Sc4 0.7455 0.7393 0.0000  5 Se 2.70-2.78, 1 Pb 2.87
Sc5 0.7405 0.4308 0.6563  5 Se 2.72-2.79, 1 Pb 2.88
Sc6 0.2595 0.9129 0.6563  5 Se 2.72-2.79, 1 Pb 2.88
Pb1 0.0000 0.0000 0.0000  6 Sc 2.87-2.88
Se1 0.5000 0.1625 0.6751  6 Sc 2.72-2.78
Se2 0.0000 0.3319 0.3363  6 Sc 2.78-2.79
Se3 0.5000 0.5000 0.0000  6 Sc 2.70-2.77
Se4 0.0000 0.6681 0.6637  6 Sc 2.78-2.79
Se5 0.5000 0.8375 0.3249  6 Sc 2.72-2.78

Calculated values
Density of states at the Fermi level (states/eV per atom): 0.551
Formation energy without anion corrections (eV/atom): -1.38
Space group: C2/m (12)
Density (g/cm3): 5.6

=====

20.
ScPb2Se: optimized geometry, PBE-GGA.

a = 8.4848 Å, b = 8.4848 Å, c = 6.7368 Å
α = 50.97°, β = 50.97°, γ = 90.00°
With the nearest neighbours (Å) after each atom.
Element x y z (fractional)
Pb1 0.6286 0.1250 0.2500  2 Pb 3.06, 2 Se 3.08, 2 Sc 3.12
Pb2 0.1214 0.6250 0.2500  2 Pb 3.06, 2 Se 3.08, 2 Sc 3.12
Pb3 0.3750 0.3714 0.7500  2 Pb 3.06, 2 Se 3.08, 2 Sc 3.12
Pb4 0.8750 0.8786 0.7500  2 Pb 3.06, 2 Se 3.08, 2 Sc 3.12
Sc1 0.5000 0.5000 0.0000  2 Se 3.06, 4 Pb 3.12
Sc2 0.2500 0.7500 0.5000  2 Se 3.06, 4 Pb 3.12
Se1 0.0000 0.0000 0.0000  2 Sc 3.06, 4 Pb 3.08
Se2 0.7500 0.2500 0.5000  2 Sc 3.06, 4 Pb 3.08

Calculated values
Density of states at the Fermi level (states/eV per atom): 1.132
Formation energy without anion corrections (eV/atom): -0.06
Space group: I-42d (122)
Density (g/cm3): 8.1